[1]
DFT (meta-GGA SCAN) results for a PBEsol-optimized structure of MoIrOs2.

Computed properties:
Electronic total energy (eV/atom): -62.37

a b c (Å): 2.7208 2.7208 7.7432
angles (deg): 90.00 90.00 90.00
Fractional coordinates of all 4 atoms:
Mo: 0.0000 0.0000 0.0000
Ir: 0.0000 0.0000 0.5000
Os: 0.5000 0.5000 0.2526
Os: 0.5000 0.5000 0.7474

=====

[2]
DFT (meta-GGA SCAN) results for a PBEsol-optimized structure of Zn2CrTe.

Computed properties:
Uncorrected formation energy (eV per atom): 0.34

a b c (Å): 8.5281 8.5281 8.5281
angles (deg): 21.94 21.94 21.94
Fractional coordinates of all 4 atoms:
Zn: 0.2419 0.2419 0.2419
Zn: 0.7581 0.7581 0.7581
Cr: 0.5000 0.5000 0.5000
Te: 0.0000 0.0000 0.0000

=====

[3]
DFT (meta-GGA SCAN) results for a PBEsol-optimized structure of BaMgPt2.

Computed properties:
Electronic total energy (eV/atom): -46.91

a b c (Å): 6.2787 6.2787 6.2787
angles (deg): 42.20 42.20 42.20
Fractional coordinates of all 4 atoms:
Ba: 0.0000 0.0000 0.0000
Mg: 0.8133 0.8133 0.8133
Pt: 0.2009 0.2009 0.2009
Pt: 0.5311 0.5311 0.5311

=====

[4]
DFT (meta-GGA SCAN) results for a PBEsol-optimized structure of SrYBi2H.

Computed properties:
Electronic total energy (eV/atom): -40.93

a b c (Å): 5.9575 5.9575 5.9041
angles (deg): 90.00 90.00 90.00
Fractional coordinates of all 5 atoms:
Sr: 0.0000 0.0000 0.0000
Y: 0.0000 0.0000 0.5000
Bi: 0.0000 0.5000 0.0000
Bi: 0.5000 0.0000 0.0000
H: 0.5000 0.5000 0.5000

=====

[5]
DFT (meta-GGA SCAN) results for a PBEsol-optimized structure of La2OsPt.

Computed properties:
Electronic total energy (eV/atom): -57.50

a b c (Å): 6.3985 6.3985 4.6636
angles (deg): 111.31 111.31 30.74
Fractional coordinates of all 4 atoms:
La: 0.0000 0.0000 0.0000
La: 0.2021 0.2021 0.7016
Os: 0.7510 0.7510 0.2504
Pt: 0.4292 0.4292 0.4292

=====

[6]
DFT (meta-GGA SCAN) results for a PBEsol-optimized structure of TlCo2W.

Computed properties:
Electronic total energy (eV/atom): -43.37

a b c (Å): 4.4711 4.4711 2.7913
angles (deg): 90.00 90.00 90.00
Fractional coordinates of all 4 atoms:
Tl: 0.0000 0.0000 0.0000
Co: 0.0000 0.5000 0.5000
Co: 0.5000 0.0000 0.5000
W: 0.5000 0.5000 0.0000